Entry from Alexandria: crystalline Zn2HgIr at its relaxed geometry (PBE).

Unit cell a=2.9047 b=2.9047 c=9.2927 alpha=90.00 beta=90.00 gamma=120.76
Positions (direct):
Ir  0.5000  0.5000  0.7708
Zn  0.0000  0.0000  0.9949
Hg  0.0000  0.0000  0.5032
Zn  0.5000  0.5000  0.2311

## Properties
electronic total energy: -2.703 eV/atom
crystal system: orthorhombic
size of the total moment: 0.000 μB per atom
density of states at the Fermi level: 3.0 states/eV/f.u.
calculated formation energy: 0.22 eV per atom